## 1
Na4Sr5 after structural relaxation, computed with GGA-PBE.

Unit cell a=4.8675 b=9.7585 c=9.7585 alpha=86.43 beta=75.56 gamma=75.56
Fractional positions:
Na1 0.3402 0.6598 0.6598
Na2 0.6598 0.3402 0.3402
Na3 0.0000 0.3402 0.6598
Na4 0.0000 0.6598 0.3402
Sr1 0.0000 0.0000 0.0000
Sr2 0.3344 0.0000 0.3311
Sr3 0.6656 0.0000 0.6689
Sr4 0.6656 0.6689 0.0000
Sr5 0.3344 0.3311 0.0000

***

## 2
Na4Sr5 after structural relaxation, computed with GGA-PBE.

Unit cell a=4.5367 b=9.9374 c=9.9374 alpha=87.88 beta=76.96 gamma=76.96
Fractional positions:
Na1 0.3223 0.6683 0.6884
Na2 0.3223 0.0217 0.3350
Na3 0.6777 0.6650 0.9783
Na4 0.6777 0.3116 0.3317
Sr1 0.0000 0.9850 0.0150
Sr2 0.0000 0.3483 0.6517
Sr3 0.0000 0.6667 0.3333
Sr4 0.3225 0.3439 0.0106
Sr5 0.6775 0.9894 0.6561

***

So which one wins? Going from most stable to least: 2, 1.

***

## 1
Na3SrTa after structural relaxation, computed with GGA-PBE.

Unit cell a=5.9416 b=5.9416 c=5.9416 alpha=90.00 beta=90.00 gamma=90.00
Last column: magnetic moment on the atom in μB.
Fractional positions:
Sr1 0.5000 0.5000 0.5000  0.02
Na1 0.0000 0.5000 0.0000  0.04
Na2 0.0000 0.0000 0.5000  0.03
Na3 0.5000 0.0000 0.0000  0.05
Ta1 0.0000 0.0000 0.0000  2.43

***

## 2
Na3SrTa after structural relaxation, computed with GGA-PBE.

Unit cell a=5.9560 b=5.9560 c=5.9560 alpha=90.00 beta=90.00 gamma=90.00
Last column: magnetic moment on the atom in μB.
Fractional positions:
Sr1 0.0000 0.0000 0.0000  0.03
Na1 0.0000 0.5000 0.0000  0.00
Na2 0.0000 0.0000 0.5000  0.00
Na3 0.5000 0.0000 0.0000  0.01
Ta1 0.5000 0.5000 0.5000  2.22

***

So which one wins? Going from most stable to least: 1, 2.

***

## 1
NaSr2Tb after structural relaxation, computed with GGA-PBE.

Unit cell a=3.8091 b=3.8091 c=14.0174 alpha=82.19 beta=82.19 gamma=60.00
Last column: magnetic moment on the atom in μB.
Fractional positions:
Sr1 0.0857 0.0857 0.7429  0.02
Sr2 0.9143 0.9143 0.2571  0.02
Tb1 0.0000 0.0000 0.0000  0.32
Na1 0.5000 0.5000 0.5000  0.00

***

## 2
NaSr2Tb after structural relaxation, computed with GGA-PBE.

Unit cell a=4.1555 b=6.3963 c=6.3963 alpha=90.00 beta=90.00 gamma=90.00
Fractional positions:
Sr1 0.0000 0.0000 0.5000
Sr2 0.0000 0.5000 0.0000
Tb1 0.5000 0.0000 0.0000
Na1 0.5000 0.5000 0.5000

***

So which one wins? Going from most stable to least: 2, 1.

***

## 1
NaSr3Tc after structural relaxation, computed with GGA-PBE.

Unit cell a=5.9500 b=5.9500 c=5.9500 alpha=90.00 beta=90.00 gamma=90.00
Last column: magnetic moment on the atom in μB.
Fractional positions:
Sr1 0.0000 0.5000 0.0000  0.01
Sr2 0.0000 0.0000 0.5000  -0.02
Sr3 0.5000 0.0000 0.0000  0.02
Tc1 0.0000 0.0000 0.0000  1.30
Na1 0.5000 0.5000 0.5000  0.00

***

## 2
NaSr3Tc after structural relaxation, computed with GGA-PBE.

Unit cell a=6.1838 b=6.1838 c=6.1838 alpha=90.00 beta=90.00 gamma=90.00
Last column: magnetic moment on the atom in μB.
Fractional positions:
Sr1 0.0000 0.5000 0.0000  -0.04
Sr2 0.0000 0.0000 0.5000  -0.03
Sr3 0.5000 0.0000 0.0000  -0.05
Tc1 0.5000 0.5000 0.5000  3.32
Na1 0.0000 0.0000 0.0000  0.00

***

So which one wins? Going from most stable to least: 1, 2.

***

## 1
NaSrTc2 after structural relaxation, computed with GGA-PBE.

Unit cell a=8.3910 b=8.3910 c=6.4387 alpha=49.34 beta=49.34 gamma=90.00
Last column: magnetic moment on the atom in μB.
Fractional positions:
Sr1 0.0000 0.0000 0.0000  0.00
Sr2 0.7500 0.2500 0.5000  0.00
Tc1 0.5928 0.1250 0.2500  0.49
Tc2 0.1572 0.6250 0.2500  0.49
Tc3 0.3750 0.4072 0.7500  0.49
Tc4 0.8750 0.8428 0.7500  0.49
Na1 0.5000 0.5000 0.0000  0.00
Na2 0.2500 0.7500 0.5000  0.00

***

## 2
NaSrTc2 after structural relaxation, computed with GGA-PBE.

Unit cell a=5.0600 b=5.0600 c=5.0600 alpha=60.00 beta=60.00 gamma=60.00
Last column: magnetic moment on the atom in μB.
Fractional positions:
Sr1 0.5000 0.5000 0.5000  0.04
Tc1 0.2500 0.2500 0.2500  2.27
Tc2 0.7500 0.7500 0.7500  2.27
Na1 0.0000 0.0000 0.0000  -0.01

***

So which one wins? Going from most stable to least: 1, 2.

***

## 1
Na2Sr2Te after structural relaxation, computed with GGA-PBE.

Unit cell a=4.2788 b=4.2788 c=11.0858 alpha=78.87 beta=78.87 gamma=90.00
Fractional positions:
Sr1 0.4110 0.4110 0.1780
Sr2 0.5890 0.5890 0.8220
Te1 0.0000 0.0000 0.0000
Na1 0.7500 0.2500 0.5000
Na2 0.2500 0.7500 0.5000

***

## 2
Na2Sr2Te after structural relaxation, computed with GGA-PBE.

Unit cell a=8.3708 b=8.3708 c=5.5082 alpha=90.00 beta=90.00 gamma=90.00
Fractional positions:
Sr1 0.1753 0.6753 0.5000
Sr2 0.6753 0.8247 0.5000
Sr3 0.8247 0.3247 0.5000
Sr4 0.3247 0.1753 0.5000
Te1 0.0000 0.0000 0.0000
Te2 0.5000 0.5000 0.0000
Na1 0.3649 0.8649 0.0000
Na2 0.8649 0.6351 0.0000
Na3 0.6351 0.1351 0.0000
Na4 0.1351 0.3649 0.0000

***

So which one wins? Going from most stable to least: 1, 2.